(1)
First-principles (PBE) data for Tb15CeSm4 after structural relaxation, as listed in Alexandria.

Geometry as CIF:
```
data_Tb15CeSm4
_chemical_formula_sum 'Tb15 Ce1 Sm4'
_cell_length_a 5.059
_cell_length_b 5.059
_cell_length_c 25.221
_cell_angle_alpha 90.00
_cell_angle_beta 90.00
_cell_angle_gamma 90.00
_space_group_name_H-M_alt 'P 1'
_space_group_IT_number 1
loop_
_space_group_symop_operation_xyz
'x,y,z'
loop_
_atom_site_label
_atom_site_type_symbol
_atom_site_fract_x
_atom_site_fract_y
_atom_site_fract_z
Ce1 Ce 0.000 0.000 0.000
Tb1 Tb 0.000 0.500 0.500
Tb2 Tb 0.500 0.500 0.200
Tb3 Tb 0.000 0.500 0.701
Tb4 Tb 0.500 0.500 0.800
Tb5 Tb 0.500 0.000 0.299
Tb6 Tb 0.000 0.500 0.098
Tb7 Tb 0.500 0.000 0.902
Tb8 Tb 0.500 0.000 0.500
Tb9 Tb 0.500 0.000 0.098
Tb10 Tb 0.000 0.500 0.299
Tb11 Tb 0.500 0.500 0.000
Tb12 Tb 0.500 0.500 0.400
Tb13 Tb 0.000 0.500 0.902
Tb14 Tb 0.500 0.500 0.600
Tb15 Tb 0.500 0.000 0.701
Sm1 Sm 0.000 0.000 0.399
Sm2 Sm 0.000 0.000 0.601
Sm3 Sm 0.000 0.000 0.802
Sm4 Sm 0.000 0.000 0.198
```

Calculated values
formation energy from the elements: 26.7 meV/atom
Fermi-level density of states: 28.649 states/eV/cell
SG: P4/mmm (123)

(2)
First-principles (PBE) data for CaHgPt2 after structural relaxation, as listed in Alexandria.

Geometry as CIF:
```
data_CaHgPt2
_chemical_formula_sum 'Ca1 Hg1 Pt2'
_cell_length_a 9.441
_cell_length_b 9.441
_cell_length_c 9.441
_cell_angle_alpha 19.01
_cell_angle_beta 19.01
_cell_angle_gamma 19.01
_space_group_name_H-M_alt 'P 1'
_space_group_IT_number 1
loop_
_space_group_symop_operation_xyz
'x,y,z'
loop_
_atom_site_label
_atom_site_type_symbol
_atom_site_fract_x
_atom_site_fract_y
_atom_site_fract_z
Pt1 Pt 0.502 0.502 0.502
Pt2 Pt 0.998 0.998 0.998
Ca1 Ca 0.250 0.250 0.250
Hg1 Hg 0.750 0.750 0.750
```

Calculated values
formation energy from the elements: -156.1 meV/atom
Fermi-level density of states: 4.028 states/eV/cell
SG: R-3m (166)

(3)
First-principles (PBE) data for BaPrCdSn after structural relaxation, as listed in Alexandria.

Geometry as CIF:
```
data_BaPrCdSn
_chemical_formula_sum 'Ba1 Pr1 Cd1 Sn1'
_cell_length_a 5.736
_cell_length_b 5.736
_cell_length_c 5.736
_cell_angle_alpha 60.00
_cell_angle_beta 60.00
_cell_angle_gamma 60.00
_space_group_name_H-M_alt 'P 1'
_space_group_IT_number 1
loop_
_space_group_symop_operation_xyz
'x,y,z'
loop_
_atom_site_label
_atom_site_type_symbol
_atom_site_fract_x
_atom_site_fract_y
_atom_site_fract_z
Sn1 Sn 0.750 0.750 0.750
Ba1 Ba 0.500 0.500 0.500
Cd1 Cd 0.250 0.250 0.250
Pr1 Pr 0.000 0.000 0.000
```

Calculated values
formation energy from the elements: -423.0 meV/atom
Fermi-level density of states: 4.524 states/eV/cell
SG: F-43m (216)

(4)
First-principles (PBE) data for SrBPt2 after structural relaxation, as listed in Alexandria.

Geometry as CIF:
```
data_SrBPt2
_chemical_formula_sum 'Sr1 B1 Pt2'
_cell_length_a 3.465
_cell_length_b 3.465
_cell_length_c 8.119
_cell_angle_alpha 77.68
_cell_angle_beta 77.68
_cell_angle_gamma 60.00
_space_group_name_H-M_alt 'P 1'
_space_group_IT_number 1
loop_
_space_group_symop_operation_xyz
'x,y,z'
loop_
_atom_site_label
_atom_site_type_symbol
_atom_site_fract_x
_atom_site_fract_y
_atom_site_fract_z
Pt1 Pt 0.126 0.126 0.622
Pt2 Pt 0.874 0.874 0.378
B1 B 0.500 0.500 0.500
Sr1 Sr 0.000 0.000 0.000
```

Calculated values
formation energy from the elements: 62.1 meV/atom
Fermi-level density of states: 1.702 states/eV/cell
SG: R-3m (166)

(5)
First-principles (PBE) data for Tm2LuZn after structural relaxation, as listed in Alexandria.

Geometry as CIF:
```
data_Tm2LuZn
_chemical_formula_sum 'Tm2 Lu1 Zn1'
_cell_length_a 3.500
_cell_length_b 3.500
_cell_length_c 8.471
_cell_angle_alpha 90.00
_cell_angle_beta 90.00
_cell_angle_gamma 90.00
_space_group_name_H-M_alt 'P 1'
_space_group_IT_number 1
loop_
_space_group_symop_operation_xyz
'x,y,z'
loop_
_atom_site_label
_atom_site_type_symbol
_atom_site_fract_x
_atom_site_fract_y
_atom_site_fract_z
Zn1 Zn 0.500 0.500 0.000
Lu1 Lu 0.500 0.500 0.500
Tm1 Tm 0.000 0.000 0.208
Tm2 Tm 0.000 0.000 0.792
```

Calculated values
formation energy from the elements: -159.7 meV/atom
Fermi-level density of states: 3.842 states/eV/cell
SG: P4/mmm (123)
energy above the lowest structure with this stoichiometry: 0 meV/atom

(6)
First-principles (PBE) data for CsK2TaOs after structural relaxation, as listed in Alexandria.

Geometry as CIF:
```
data_CsK2TaOs
_chemical_formula_sum 'Cs1 K2 Ta1 Os1'
_cell_length_a 5.963
_cell_length_b 5.533
_cell_length_c 5.963
_cell_angle_alpha 90.00
_cell_angle_beta 90.00
_cell_angle_gamma 90.00
_space_group_name_H-M_alt 'P 1'
_space_group_IT_number 1
loop_
_space_group_symop_operation_xyz
'x,y,z'
loop_
_atom_site_label
_atom_site_type_symbol
_atom_site_fract_x
_atom_site_fract_y
_atom_site_fract_z
Os1 Os 0.500 0.500 0.500
K1 K 0.000 0.000 0.500
K2 K 0.500 0.000 0.000
Cs1 Cs 0.000 0.000 0.000
Ta1 Ta 0.000 0.500 0.000
```

Calculated values
formation energy from the elements: 2861.1 meV/atom
Fermi-level density of states: 7.201 states/eV/cell
SG: P4/mmm (123)

(7)
First-principles (PBE) data for Nd5Zn2Ge after structural relaxation, as listed in Alexandria.

Geometry as CIF:
```
data_Nd5Zn2Ge
_chemical_formula_sum 'Nd10 Zn4 Ge2'
_cell_length_a 7.631
_cell_length_b 7.631
_cell_length_c 9.347
_cell_angle_alpha 114.09
_cell_angle_beta 114.09
_cell_angle_gamma 90.00
_space_group_name_H-M_alt 'P 1'
_space_group_IT_number 1
loop_
_space_group_symop_operation_xyz
'x,y,z'
loop_
_atom_site_label
_atom_site_type_symbol
_atom_site_fract_x
_atom_site_fract_y
_atom_site_fract_z
Nd1 Nd 0.500 0.500 0.000
Nd2 Nd 0.013 0.513 0.693
Nd3 Nd 0.680 0.180 0.693
Nd4 Nd 0.000 0.000 0.000
Nd5 Nd 0.320 0.820 0.307
Nd6 Nd 0.820 0.987 0.307
Nd7 Nd 0.513 0.680 0.693
Nd8 Nd 0.987 0.487 0.307
Nd9 Nd 0.487 0.320 0.307
Nd10 Nd 0.180 0.013 0.693
Zn1 Zn 0.381 0.881 0.000
Zn2 Zn 0.881 0.619 0.000
Zn3 Zn 0.119 0.381 0.000
Zn4 Zn 0.619 0.119 0.000
Ge1 Ge 0.750 0.750 0.500
Ge2 Ge 0.250 0.250 0.500
```

Calculated values
formation energy from the elements: -347.2 meV/atom
Fermi-level density of states: 18.977 states/eV/cell
SG: I4/mcm (140)

(8)
First-principles (PBE) data for ZnCrCl2 after structural relaxation, as listed in Alexandria.

Geometry as CIF:
```
data_ZnCrCl2
_chemical_formula_sum 'Zn1 Cr1 Cl2'
_cell_length_a 3.374
_cell_length_b 3.893
_cell_length_c 9.307
_cell_angle_alpha 82.75
_cell_angle_beta 90.00
_cell_angle_gamma 90.00
_space_group_name_H-M_alt 'P 1'
_space_group_IT_number 1
loop_
_space_group_symop_operation_xyz
'x,y,z'
loop_
_atom_site_label
_atom_site_type_symbol
_atom_site_fract_x
_atom_site_fract_y
_atom_site_fract_z
Cl1 Cl 0.000 0.392 0.409
Cl2 Cl 0.000 0.108 0.091
Cr1 Cr 0.500 0.250 0.250
Zn1 Zn 0.500 0.750 0.750
```

Calculated values
E_form (uncorrected): -0.432 eV/atom
Fermi-level density of states: 0.638 states/eV/cell
SG: P2/m (10)
energy above the lowest structure with this stoichiometry: 51 meV/atom